(1)
AgSbF6 after structural relaxation, computed with PBE-GGA.

CIF file:
```
data_AgSbF6
_symmetry_space_group_name_H-M 'I a -3'
_symmetry_Int_Tables_number 206
_symmetry_space_group_name_Hall '-I 2b 2c 3'
_cell_length_a 9.444
_cell_length_b 9.444
_cell_length_c 9.444
_cell_angle_alpha 90.00
_cell_angle_beta 90.00
_cell_angle_gamma 90.00
loop_
_atom_site_label
_atom_site_type_symbol
_atom_site_fract_x
_atom_site_fract_y
_atom_site_fract_z
Ag1 Ag 0.000 0.000 0.000
Sb1 Sb 0.250 0.250 0.250
F1 F 0.094 0.135 0.310
```

Computed properties:
* DFT total energy: -4.26 eV per atom
* V: 105 Å³/f.u.
* crystal system: cubic

***

(2)
AgSbF6 after structural relaxation, computed with PBE-GGA.

CIF file:
```
data_AgSbF6
_symmetry_space_group_name_H-M 'P 42/m c m'
_symmetry_Int_Tables_number 132
_symmetry_space_group_name_Hall '-P 4c 2c'
_cell_length_a 4.823
_cell_length_b 4.823
_cell_length_c 9.128
_cell_angle_alpha 90.00
_cell_angle_beta 90.00
_cell_angle_gamma 90.00
loop_
_atom_site_label
_atom_site_type_symbol
_atom_site_fract_x
_atom_site_fract_y
_atom_site_fract_z
Ag1 Ag 0.000 0.000 0.250
Sb1 Sb 0.500 0.500 0.000
F1 F 0.219 0.219 0.000
F2 F 0.303 0.303 0.352
```

Computed properties:
* DFT total energy: -4.25 eV per atom
* V: 106 Å³/f.u.
* crystal system: tetragonal

***

(3)
Ag3Sb4F24 after structural relaxation, computed with PBE-GGA.

CIF file:
```
data_Ag3Sb4F24
_symmetry_space_group_name_H-M 'I -4 3 d'
_symmetry_Int_Tables_number 220
_symmetry_space_group_name_Hall 'I -4bd 2c 3'
_cell_length_a 11.854
_cell_length_b 11.854
_cell_length_c 11.854
_cell_angle_alpha 90.00
_cell_angle_beta 90.00
_cell_angle_gamma 90.00
loop_
_atom_site_label
_atom_site_type_symbol
_atom_site_fract_x
_atom_site_fract_y
_atom_site_fract_z
Ag1 Ag 0.000 0.250 0.875
Sb1 Sb 0.062 0.438 0.562
F1 F 0.010 0.357 0.689
F2 F 0.033 0.061 0.892
```

Computed properties:
* DFT total energy: -4.26 eV per atom
* V: 416 Å³/f.u.
* crystal system: cubic

***

(4)
ScAgF4 after structural relaxation, computed with PBE-GGA.

CIF file:
```
data_ScAgF4
_symmetry_space_group_name_H-M 'P 1 21/c 1'
_symmetry_Int_Tables_number 14
_symmetry_space_group_name_Hall '-P 2ybc'
_cell_length_a 5.522
_cell_length_b 4.798
_cell_length_c 5.955
_cell_angle_alpha 90.00
_cell_angle_beta 105.35
_cell_angle_gamma 90.00
loop_
_atom_site_label
_atom_site_type_symbol
_atom_site_fract_x
_atom_site_fract_y
_atom_site_fract_z
Sc1 Sc 0.000 0.000 0.000
Ag1 Ag 0.500 0.000 0.500
F1 F 0.082 0.153 0.705
F2 F 0.352 0.604 0.617
```

Computed properties:
* DFT total energy: -5.63 eV per atom
* V: 76 Å³/f.u.
* total magnetization: 0.00 μB/cell
* crystal system: monoclinic

***

(5)
Ag6SeF12 after structural relaxation, computed with PBE-GGA.

CIF file:
```
data_Ag6SeF12
_symmetry_space_group_name_H-M 'R -3'
_symmetry_Int_Tables_number 148
_symmetry_space_group_name_Hall '-R 3'
_cell_length_a 9.9931
_cell_length_b 9.9931
_cell_length_c 9.5352
_cell_angle_alpha 90.00
_cell_angle_beta 90.00
_cell_angle_gamma 120.00
loop_
_atom_site_label
_atom_site_type_symbol
_atom_site_fract_x
_atom_site_fract_y
_atom_site_fract_z
Ag1 Ag 0.0403 0.7921 0.1473
Se1 Se 0.0000 0.0000 0.5000
F1 F 0.0214 0.7903 0.8997
F2 F 0.0632 0.8799 0.3847
```

Computed properties:
* DFT total energy: -3.48 eV per atom
* V: 275 Å³/f.u.
* crystal system: trigonal

***

(6)
Ag2SeF6 after structural relaxation, computed with PBE-GGA.

CIF file:
```
data_Ag2SeF6
_symmetry_space_group_name_H-M 'P 42/m n m'
_symmetry_Int_Tables_number 136
_symmetry_space_group_name_Hall '-P 4n 2n'
_cell_length_a 5.122
_cell_length_b 5.122
_cell_length_c 10.352
_cell_angle_alpha 90.00
_cell_angle_beta 90.00
_cell_angle_gamma 90.00
loop_
_atom_site_label
_atom_site_type_symbol
_atom_site_fract_x
_atom_site_fract_y
_atom_site_fract_z
Ag1 Ag 0.000 0.000 0.164
Se1 Se 0.000 0.000 0.500
F1 F 0.183 0.183 0.361
F2 F 0.232 0.232 0.000
```

Computed properties:
* DFT total energy: -3.64 eV per atom
* V: 136 Å³/f.u.
* crystal system: tetragonal

***

(7)
AgSeF6 after structural relaxation, computed with PBE-GGA.

CIF file:
```
data_AgSeF6
_symmetry_space_group_name_H-M 'P -1'
_symmetry_Int_Tables_number 2
_symmetry_space_group_name_Hall '-P 1'
_cell_length_a 4.912
_cell_length_b 4.960
_cell_length_c 5.475
_cell_angle_alpha 65.29
_cell_angle_beta 64.32
_cell_angle_gamma 60.40
loop_
_atom_site_label
_atom_site_type_symbol
_atom_site_fract_x
_atom_site_fract_y
_atom_site_fract_z
Ag1 Ag 0.000 0.000 0.000
Se1 Se 0.500 0.500 0.500
F1 F 0.097 0.466 0.732
F2 F 0.289 0.896 0.274
F3 F 0.469 0.714 0.730
```

Computed properties:
* DFT total energy: -3.60 eV per atom
* V: 101 Å³/f.u.
* crystal system: triclinic

***

(8)
Sr2Ag2TeSeF2 after structural relaxation, computed with PBE-GGA.

CIF file:
```
data_Sr2Ag2TeSeF2
_symmetry_space_group_name_H-M 'P 4 m m'
_symmetry_Int_Tables_number 99
_symmetry_space_group_name_Hall 'P 4 -2'
_cell_length_a 4.264
_cell_length_b 4.264
_cell_length_c 9.409
_cell_angle_alpha 90.00
_cell_angle_beta 90.00
_cell_angle_gamma 90.00
loop_
_atom_site_label
_atom_site_type_symbol
_atom_site_fract_x
_atom_site_fract_y
_atom_site_fract_z
Sr1 Sr 0.000 0.000 0.000
Sr2 Sr 0.500 0.500 0.287
Ag1 Ag 0.000 0.500 0.666
Te1 Te 0.000 0.000 0.460
Se1 Se 0.500 0.500 0.857
F1 F 0.000 0.500 0.146
```

Computed properties:
* DFT total energy: -4.42 eV per atom
* V: 171 Å³/f.u.
* crystal system: tetragonal